Record 1
Density functional theory data (PBE-GGA) for YHo15Sc4 after structural relaxation.

Cell lengths 4.917, 4.917, 24.515 Å; angles 90.00, 90.00, 90.00 degrees
Space group P4/mmm (No. 123)
One atom of each set of equivalent atoms:
Y1 0.000 0.000 0.000 [1 per cell]
Ho1 0.000 0.500 0.104 [4 per cell]
Ho2 0.000 0.500 0.302 [4 per cell]
Ho3 0.000 0.500 0.500 [2 per cell]
Ho4 0.500 0.500 0.000 [1 per cell]
Ho5 0.500 0.500 0.203 [2 per cell]
Ho6 0.500 0.500 0.401 [2 per cell]
Sc1 0.000 0.000 0.202 [2 per cell]
Sc2 0.000 0.000 0.401 [2 per cell]

Computed properties:
Magnetic moment   0.0 μB per formula unit
E_tot   -99.69 eV for the cell shown
Formation energy   0.77 eV/f.u.

Record 2
Density functional theory data (PBE-GGA) for Zn3In4 after structural relaxation.

Cell lengths 5.2786, 5.2786, 6.4638 Å; angles 90.00, 90.00, 120.00 degrees
Space group P6/mmm (No. 191)
One atom of each set of equivalent atoms:
Zn1 0.0000 0.5000 0.0000 [3 per cell]
In1 0.0000 0.0000 0.2514 [2 per cell]
In2 0.3333 0.6667 0.5000 [2 per cell]

Computed properties:
Magnetic moment   0.0 μB per formula unit
E_tot   -14.38 eV for the cell shown
Formation energy   0.39 eV/f.u.

Record 3
Density functional theory data (PBE-GGA) for BaPbBr2 after structural relaxation.

Cell lengths 8.896, 8.896, 7.721 Å; angles 90.00, 90.00, 90.00 degrees
Space group I-42d (No. 122)
One atom of each set of equivalent atoms:
Ba1 0.000 0.000 0.000 [4 per cell]
Pb1 0.000 0.000 0.500 [4 per cell]
Br1 0.249 0.250 0.125 [8 per cell]

Computed properties:
Polymorph energy (0 for the lowest one)   9.5 kJ per mole of atoms
Formation energy from raw total energies   -1.048 eV/atom
Magnetic moment   0.0 μB per formula unit
E_tot   -52.68 eV for the cell shown

Record 4
Density functional theory data (PBE-GGA) for EuPH after structural relaxation.

Cell lengths 4.214, 4.214, 6.803 Å; angles 90.00, 90.00, 90.00 degrees
Space group I4mm (No. 107)
One atom of each set of equivalent atoms:
Eu1 0.000 0.000 0.000 [2 per cell]
P1 0.000 0.000 0.576 [2 per cell]
H1 0.000 0.000 0.364 [2 per cell]

Computed properties:
Polymorph energy (0 for the lowest one)   0.0 kJ per mole of atoms
Magnetic moment   7.0 μB per formula unit
E_tot   -42.04 eV for the cell shown